1.
The following is a PBE calculation of a relaxed structure of Y3HfNi, from Alexandria via LeMat-Bulk.

a b c (Å): 5.4506 5.4506 5.4506
angles (deg): 90.00 90.00 90.00
Closest atoms and distances in Å follow each position.
Space group Pm-3m (No. 221)
Unique sites:
1 Y 0.0000 0.0000 0.5000  2 Hf 2.73
2 Hf 0.0000 0.0000 0.0000  6 Y 2.73
3 Ni 0.5000 0.5000 0.5000  12 Y 3.85

Results
As for the total DFT energy (no corrections): -5.93 eV per atom. The calculation puts the polymorph energy (0 for the lowest one) at 0.858 eV per atom.

2.
The following is a PBE calculation of a relaxed structure of YHfNi2, from Alexandria via LeMat-Bulk.

a b c (Å): 3.2660 3.2660 6.6967
angles (deg): 90.00 90.00 90.00
Closest atoms and distances in Å follow each position.
Space group P4/mmm (No. 123)
Unique sites:
1 Y 0.0000 0.0000 0.0000  8 Ni 3.03, 4 Y 3.27, 2 Hf 3.35
2 Hf 0.0000 0.0000 0.5000  8 Ni 2.69
3 Ni 0.5000 0.5000 0.2933  4 Hf 2.69, 1 Ni 2.77

Results
As for the total DFT energy (no corrections): -7.41 eV per atom. The calculation puts the polymorph energy (0 for the lowest one) at 0.000 eV per atom.

3.
The following is a PBE calculation of a relaxed structure of Y2Hf2Ni, from Alexandria via LeMat-Bulk.

a b c (Å): 6.7528 6.7528 5.2528
angles (deg): 90.00 90.00 90.00
Closest atoms and distances in Å follow each position.
Space group P4/mbm (No. 127)
Unique sites:
1 Y 0.1657 0.3343 0.0000  6 Hf 3.15-3.40, 1 Y 3.17
2 Hf 0.1530 0.6530 0.5000  2 Ni 2.56
3 Ni 0.0000 0.0000 0.5000  4 Hf 2.56

Results
As for the total DFT energy (no corrections): -7.67 eV per atom.

4.
The following is a PBE calculation of a relaxed structure of Y3HfNi, from Alexandria via LeMat-Bulk.

a b c (Å): 5.2133 5.2133 5.2133
angles (deg): 90.00 90.00 90.00
Closest atoms and distances in Å follow each position.
Space group Pm-3m (No. 221)
Unique sites:
1 Y 0.0000 0.0000 0.5000  2 Ni 2.61
2 Hf 0.5000 0.5000 0.5000  12 Y 3.69
3 Ni 0.0000 0.0000 0.0000  6 Y 2.61

Results
As for the total DFT energy (no corrections): -6.78 eV per atom. The calculation puts the polymorph energy (0 for the lowest one) at 0.000 eV per atom.

5.
The following is a PBE calculation of a relaxed structure of YHf3Ni, from Alexandria via LeMat-Bulk.

a b c (Å): 4.9102 4.9102 4.9102
angles (deg): 90.00 90.00 90.00
Closest atoms and distances in Å follow each position.
Space group Pm-3m (No. 221)
Unique sites:
1 Y 0.0000 0.0000 0.0000  12 Hf 3.47
2 Hf 0.0000 0.5000 0.5000  2 Ni 2.46
3 Ni 0.5000 0.5000 0.5000  6 Hf 2.46

Results
As for the total DFT energy (no corrections): -8.26 eV per atom. The calculation puts the polymorph energy (0 for the lowest one) at 0.000 eV per atom.

6.
The following is a PBE calculation of a relaxed structure of YHfNi, from Alexandria via LeMat-Bulk.

a b c (Å): 6.8251 6.8251 4.6891
angles (deg): 90.00 90.00 120.00
Closest atoms and distances in Å follow each position.
Space group P-62m (No. 189)
Unique sites:
1 Y 0.0000 0.4038 0.0000  1 Ni 2.76
2 Hf 0.0000 0.7372 0.5000  2 Ni 2.55
3 Ni 0.0000 0.0000 0.0000  3 Y 2.76, 6 Hf 2.95
4 Ni 0.3333 0.6667 0.5000  3 Hf 2.55

Results
As for the total DFT energy (no corrections): -7.67 eV per atom. The calculation puts the polymorph energy (0 for the lowest one) at 0.057 eV per atom.

7.
The following is a PBE calculation of a relaxed structure of YHfNi4, from Alexandria via LeMat-Bulk.

a b c (Å): 7.0591 7.0591 7.0591
angles (deg): 90.00 90.00 90.00
Closest atoms and distances in Å follow each position.
Space group F-43m (No. 216)
Unique sites:
1 Y 0.0000 0.0000 0.0000  12 Ni 2.93, 4 Hf 3.06
2 Hf 0.2500 0.2500 0.7500  12 Ni 2.93, 4 Y 3.06
3 Ni 0.1244 0.1244 0.3756  6 Ni 2.48-2.51

Results
As for the total DFT energy (no corrections): -6.99 eV per atom.

8.
The following is a PBE calculation of a relaxed structure of YHfNi2, from Alexandria via LeMat-Bulk.

a b c (Å): 6.5617 6.5617 6.5617
angles (deg): 90.00 90.00 90.00
Closest atoms and distances in Å follow each position.
Space group Fm-3m (No. 225)
Unique sites:
1 Y 0.0000 0.0000 0.0000  8 Ni 2.84
2 Hf 0.0000 0.0000 0.5000  8 Ni 2.84
3 Ni 0.2500 0.2500 0.2500  4 Hf 2.84, 4 Y 2.84

Results
As for the total DFT energy (no corrections): -7.32 eV per atom. The calculation puts the polymorph energy (0 for the lowest one) at 0.092 eV per atom.

9.
The following is a PBE calculation of a relaxed structure of Y2Hf2Ni15, from Alexandria via LeMat-Bulk.

a b c (Å): 8.4266 8.4266 12.5791
angles (deg): 90.00 90.00 120.00
Closest atoms and distances in Å follow each position.
Space group R-3m (No. 166, hexagonal axes)
Unique sites:
1 Y 0.0000 0.0000 0.1437  12 Ni 2.93-3.10, 1 Hf 3.12
2 Hf 0.0000 0.0000 0.3914  6 Ni 2.54-2.61, 1 Hf 2.73
3 Ni 0.0000 0.2990 0.5000  8 Ni 2.46-2.59
4 Ni 0.0000 0.5000 0.0000  8 Ni 2.45-2.46, 2 Hf 2.54
5 Ni 0.0032 0.5016 0.6551  8 Ni 2.43-2.59, 1 Hf 2.61

Results
As for the total DFT energy (no corrections): -6.60 eV per atom.

10.
The following is a PBE calculation of a relaxed structure of YHf2Ni, from Alexandria via LeMat-Bulk.

a b c (Å): 6.8495 6.8495 6.8495
angles (deg): 90.00 90.00 90.00
Closest atoms and distances in Å follow each position.
Space group Fm-3m (No. 225)
Unique sites:
1 Y 0.0000 0.0000 0.0000  8 Hf 2.97
2 Hf 0.2500 0.2500 0.2500  4 Ni 2.97, 4 Y 2.97
3 Ni 0.0000 0.0000 0.5000  8 Hf 2.97

Results
As for the total DFT energy (no corrections): -7.73 eV per atom. The calculation puts the polymorph energy (0 for the lowest one) at 0.371 eV per atom.

11.
The following is a PBE calculation of a relaxed structure of YHf3Ni, from Alexandria via LeMat-Bulk.

a b c (Å): 5.0772 5.0772 5.0772
angles (deg): 90.00 90.00 90.00
Closest atoms and distances in Å follow each position.
Space group Pm-3m (No. 221)
Unique sites:
1 Y 0.0000 0.0000 0.0000  6 Hf 2.54
2 Hf 0.0000 0.0000 0.5000  2 Y 2.54
3 Ni 0.5000 0.5000 0.5000  12 Hf 3.59

Results
As for the total DFT energy (no corrections): -6.49 eV per atom. The calculation puts the polymorph energy (0 for the lowest one) at 1.768 eV per atom.

12.
The following is a PBE calculation of a relaxed structure of YHfZnNi, from Alexandria via LeMat-Bulk.

a b c (Å): 6.7276 6.7276 6.7276
angles (deg): 90.00 90.00 90.00
Closest atoms and distances in Å follow each position.
Space group F-43m (No. 216)
Unique sites:
1 Y 0.0000 0.0000 0.0000  4 Zn 2.91, 4 Ni 2.91
2 Hf 0.0000 0.0000 0.5000  4 Ni 2.91, 4 Zn 2.91
3 Zn 0.2500 0.2500 0.7500  4 Hf 2.91, 4 Y 2.91
4 Ni 0.2500 0.2500 0.2500  4 Hf 2.91, 4 Y 2.91

Results
As for the total DFT energy (no corrections): -6.08 eV per atom.

13.
The following is a PBE calculation of a relaxed structure of HfZn2Ni, from Alexandria via LeMat-Bulk.

a b c (Å): 3.6985 3.6985 19.3434
angles (deg): 90.00 90.00 90.00
Closest atoms and distances in Å follow each position.
Space group I-42d (No. 122)
Unique sites:
1 Hf 0.0000 0.0000 0.0000  4 Ni 2.62, 4 Zn 2.78
2 Zn 0.2289 0.2500 0.6250  4 Zn 2.51-2.73, 2 Ni 2.72, 2 Hf 2.78
3 Ni 0.0000 0.0000 0.5000  4 Hf 2.62, 4 Zn 2.72

Results
As for the total DFT energy (no corrections): -4.52 eV per atom.

14.
The following is a PBE calculation of a relaxed structure of HfZn2Ni, from Alexandria via LeMat-Bulk.

a b c (Å): 6.1929 6.1929 6.1929
angles (deg): 90.00 90.00 90.00
Closest atoms and distances in Å follow each position.
Space group Fm-3m (No. 225)
Unique sites:
1 Hf 0.0000 0.0000 0.0000  8 Zn 2.68
2 Zn 0.2500 0.2500 0.2500  4 Hf 2.68, 4 Ni 2.68
3 Ni 0.0000 0.0000 0.5000  8 Zn 2.68

Results
As for the total DFT energy (no corrections): -4.75 eV per atom.

15.
The following is a PBE calculation of a relaxed structure of Hf3Zn2Ni3, from Alexandria via LeMat-Bulk.

a b c (Å): 7.5547 7.5547 5.0641
angles (deg): 90.00 90.00 120.00
Closest atoms and distances in Å follow each position.
Space group P6_3/mcm (No. 193)
Unique sites:
1 Hf 0.0000 0.2579 0.2500  5 Ni 2.62-2.74
2 Zn 0.3333 0.6667 0.0000  2 Zn 2.53, 6 Ni 2.64
3 Ni 0.0000 0.3951 0.7500  5 Hf 2.62-2.74, 4 Zn 2.64

Results
As for the total DFT energy (no corrections): -6.65 eV per atom.

16.
The following is a PBE calculation of a relaxed structure of Hf2ZnNi9, from Alexandria via LeMat-Bulk.

a b c (Å): 3.6964 3.6964 10.9352
angles (deg): 90.00 90.00 90.00
Closest atoms and distances in Å follow each position.
Space group P4/mmm (No. 123)
Unique sites:
1 Hf 0.0000 0.0000 0.1735  12 Ni 2.61-2.65
2 Zn 0.0000 0.0000 0.5000  12 Ni 2.52-2.61
3 Ni 0.0000 0.5000 0.0000  8 Ni 2.61-2.62, 4 Hf 2.65
4 Ni 0.0000 0.5000 0.3429  8 Ni 2.52-2.64, 2 Zn 2.52, 2 Hf 2.62
5 Ni 0.5000 0.5000 0.1700  4 Hf 2.61, 8 Ni 2.62-2.64
6 Ni 0.5000 0.5000 0.5000  8 Ni 2.52, 4 Zn 2.61

Results
As for the total DFT energy (no corrections): -6.49 eV per atom.

17.
The following is a PBE calculation of a relaxed structure of HfZnNi5, from Alexandria via LeMat-Bulk.

a b c (Å): 3.6806 3.6806 6.8996
angles (deg): 90.00 90.00 90.00
Closest atoms and distances in Å follow each position.
Space group P4/mmm (No. 123)
Unique sites:
1 Hf 0.0000 0.0000 0.0000  12 Ni 2.60-2.62
2 Zn 0.5000 0.5000 0.5000  8 Ni 2.42
3 Ni 0.0000 0.5000 0.2712  2 Zn 2.42, 6 Ni 2.60-2.62, 2 Hf 2.62
4 Ni 0.5000 0.5000 0.0000  4 Hf 2.60, 8 Ni 2.62

Results
As for the total DFT energy (no corrections): -5.91 eV per atom.

18.
The following is a PBE calculation of a relaxed structure of HfZn2Ni, from Alexandria via LeMat-Bulk.

a b c (Å): 3.0505 3.0505 6.4777
angles (deg): 90.00 90.00 90.00
Closest atoms and distances in Å follow each position.
Space group P4/mmm (No. 123)
Unique sites:
1 Hf 0.0000 0.0000 0.0000  8 Zn 2.88, 4 Hf 3.05
2 Zn 0.5000 0.5000 0.2956  4 Ni 2.53, 1 Zn 2.65
3 Ni 0.0000 0.0000 0.5000  8 Zn 2.53

Results
As for the total DFT energy (no corrections): -4.76 eV per atom.

19.
The following is a PBE calculation of a relaxed structure of Hf6ZnNi, from Alexandria via LeMat-Bulk.

a b c (Å): 7.8439 7.8439 8.8856
angles (deg): 90.00 90.00 120.00
Closest atoms and distances in Å follow each position.
Space group R-3 (No. 148, hexagonal axes)
Unique sites:
1 Hf 0.0090 0.7670 0.2365  2 Hf 2.70-2.75, 1 Ni 2.81, 1 Zn 2.99
2 Zn 0.0000 0.0000 0.5000  12 Hf 2.99-3.08
3 Ni 0.0000 0.0000 0.0000  6 Hf 2.81

Results
As for the total DFT energy (no corrections): -8.37 eV per atom.

20.
The following is a PBE calculation of a relaxed structure of Hf3Zn2Ni6, from Alexandria via LeMat-Bulk.

a b c (Å): 8.5392 8.5392 8.5392
angles (deg): 90.00 90.00 90.00
Closest atoms and distances in Å follow each position.
Space group Im-3m (No. 229)
Unique sites:
1 Hf 0.0000 0.0000 0.2788  4 Ni 2.64
2 Zn 0.2500 0.2500 0.2500  6 Ni 2.43
3 Ni 0.0000 0.3468 0.3468  2 Zn 2.43, 6 Ni 2.48-2.62, 2 Hf 2.64

Results
As for the total DFT energy (no corrections): -6.53 eV per atom.

21.
The following is a PBE calculation of a relaxed structure of HfZn5Ni6, from Alexandria via LeMat-Bulk.

a b c (Å): 4.2204 5.7915 6.4128
angles (deg): 90.00 102.19 90.00
Closest atoms and distances in Å follow each position.
Space group P2/m (No. 10)
Unique sites:
1 Hf 0.0000 0.0000 0.0000  8 Ni 2.60, 4 Zn 2.86-2.90
2 Zn 0.0000 0.5000 0.0000  8 Ni 2.52-2.56
3 Zn 0.3494 0.5000 0.6701  8 Ni 2.49-2.54, 1 Zn 2.75
4 Zn 0.3549 0.0000 0.6657  8 Ni 2.57-2.60, 1 Zn 2.67, 1 Hf 2.86
5 Ni 0.1512 0.2574 0.3394  7 Zn 2.53-2.60, 1 Hf 2.60, 2 Ni 2.64-2.81
6 Ni 0.5000 0.2621 0.0000  6 Zn 2.49-2.59, 2 Hf 2.60, 1 Ni 2.76

Results
As for the total DFT energy (no corrections): -4.54 eV per atom.

22.
The following is a PBE calculation of a relaxed structure of Hf2ZnNi2, from Alexandria via LeMat-Bulk.

a b c (Å): 3.3013 3.3013 15.5340
angles (deg): 90.00 90.00 90.00
Closest atoms and distances in Å follow each position.
Space group I4/mmm (No. 139)
Unique sites:
1 Hf 0.0000 0.0000 0.1172  4 Ni 2.64
2 Zn 0.0000 0.0000 0.5000  8 Hf 2.96, 4 Zn 3.30
3 Ni 0.0000 0.5000 0.2500  4 Ni 2.33

Results
As for the total DFT energy (no corrections): -6.64 eV per atom.

23.
The following is a PBE calculation of a relaxed structure of HfZnNi, from Alexandria via LeMat-Bulk.

a b c (Å): 4.2450 4.2450 2.9724
angles (deg): 90.00 90.00 120.00
Closest atoms and distances in Å follow each position.
Space group P-6m2 (No. 187)
Unique sites:
1 Hf 0.0000 0.0000 0.0000  6 Ni 2.87, 6 Zn 2.87, 2 Hf 2.97
2 Zn 0.3333 0.6667 0.5000  3 Ni 2.45
3 Ni 0.6667 0.3333 0.5000  3 Zn 2.45

Results
As for the total DFT energy (no corrections): -5.98 eV per atom.

24.
The following is a PBE calculation of a relaxed structure of HfZn11Ni, from Alexandria via LeMat-Bulk.

a b c (Å): 5.0985 12.3551 6.5962
angles (deg): 90.00 112.39 90.00
Closest atoms and distances in Å follow each position.
Space group C2/m (No. 12)
Unique sites:
1 Hf 0.0000 0.0000 0.0000  18 Zn 3.02-3.34, 2 Ni 3.30
2 Zn 0.0000 0.5000 0.5000  8 Zn 2.53-2.66, 2 Ni 2.55
3 Zn 0.1142 0.3955 0.2140  1 Ni 2.50, 7 Zn 2.53-2.76
4 Zn 0.1621 0.1704 0.3539  1 Ni 2.58, 6 Zn 2.66-2.76
5 Zn 0.2500 0.2500 0.0000  10 Zn 2.54-2.72
6 Ni 0.0000 0.0000 0.5000  10 Zn 2.50-2.58

Results
As for the total DFT energy (no corrections): -2.41 eV per atom.